A plane-wave DFT calculation with PBE was carried out for B5C7 after structural relaxation.

Raw total energy = -7.80 eV/atom
Energy above the most stable polymorph in this dataset = 1.205 eV/f.u.
Symmetry = No. 6

```
B5C7
1.0
4.796 0.000 0.000
0.000 2.524 0.000
-0.889 0.000 6.458
B C
5 7
Direct
0.000 0.000 0.000 B
0.033 0.000 0.734 B
0.231 0.500 0.609 B
0.363 0.000 0.023 B
0.672 0.000 0.389 B
0.180 0.500 0.364 C
0.313 0.000 0.282 C
0.538 0.500 0.953 C
0.547 0.500 0.718 C
0.689 0.000 0.646 C
0.827 0.500 0.067 C
0.856 0.500 0.295 C
```

A plane-wave DFT calculation with PBE was carried out for Th4Sb3Se after structural relaxation.

Raw total energy = -6.74 eV/atom
Symmetry = No. 13

```
Th4Sb3Se
1.0
7.668 0.000 0.000
0.000 8.835 0.000
-2.547 0.000 7.288
Th Sb Se
8 6 2
Direct
0.232 0.117 0.499 Th
0.232 0.883 0.999 Th
0.242 0.365 0.992 Th
0.242 0.635 0.492 Th
0.758 0.365 0.508 Th
0.758 0.635 0.008 Th
0.768 0.117 0.001 Th
0.768 0.883 0.501 Th
0.000 0.377 0.250 Sb
0.000 0.623 0.750 Sb
0.500 0.123 0.250 Sb
0.500 0.374 0.750 Sb
0.500 0.626 0.250 Sb
0.500 0.877 0.750 Sb
0.000 0.125 0.750 Se
0.000 0.875 0.250 Se
```

A plane-wave DFT calculation with PBE was carried out for CrHgMo2 after structural relaxation.

Raw total energy = -7.40 eV/atom
Symmetry = No. 123

```
CrHgMo2
1.0
3.887 0.000 0.000
0.000 3.887 0.000
0.000 0.000 4.211
Cr Hg Mo
1 1 2
Direct
0.000 0.000 0.000 Cr
0.500 0.500 0.000 Hg
0.000 0.500 0.500 Mo
0.500 0.000 0.500 Mo
```

A plane-wave DFT calculation with PBE was carried out for MgScTiN2 after structural relaxation.

Raw total energy = -6.09 eV/atom
Symmetry = No. 123

```
MgScTiN2
1.0
4.025 0.000 0.000
0.000 4.025 0.000
0.000 0.000 4.845
Mg Sc Ti N
1 1 1 2
Direct
0.000 0.000 0.000 Mg
0.500 0.500 0.000 Sc
0.000 0.000 0.500 Ti
0.000 0.500 0.500 N
0.500 0.000 0.500 N
```